1.
DFT (GGA-PBE) results for ZrZnB2Rh after structural relaxation.

Values from the calculation:
* formation energy: 936 meV per atom
* final energy: -5.170 eV/atom
* size of the total moment: 0.00 μB/cell

The structure in CIF format:
```
data_ZrZnB2Rh
_cell_length_a 3.957
_cell_length_b 3.957
_cell_length_c 4.643
_cell_angle_alpha 90.00
_cell_angle_beta 90.00
_cell_angle_gamma 90.00
_space_group_name_H-M_alt 'P 4/m m m'
_space_group_IT_number 123
_space_group_name_Hall '-P 4 2'
loop_
_atom_site_label
_atom_site_type_symbol
_atom_site_fract_x
_atom_site_fract_y
_atom_site_fract_z
Zr1 Zr 0.000 0.000 0.000
Zn1 Zn 0.500 0.500 0.500
B1 B 0.000 0.500 0.500
Rh1 Rh 0.500 0.500 0.000
```

***

2.
DFT (GGA-PBE) results for RbTiCu2S4 after structural relaxation.

Values from the calculation:
* energy relative to the elements, uncorrected: -0.699 eV/atom
* final energy: -4.895 eV/atom
* size of the total moment: 0.00 μB/cell

The structure in CIF format:
```
data_RbTiCu2S4
_cell_length_a 6.304
_cell_length_b 6.304
_cell_length_c 8.920
_cell_angle_alpha 90.00
_cell_angle_beta 90.00
_cell_angle_gamma 90.00
_space_group_name_H-M_alt 'I -4 2 m'
_space_group_IT_number 121
_space_group_name_Hall 'I -4 2'
loop_
_atom_site_label
_atom_site_type_symbol
_atom_site_fract_x
_atom_site_fract_y
_atom_site_fract_z
Rb1 Rb 0.000 0.000 0.000
Ti1 Ti 0.000 0.000 0.500
Cu1 Cu 0.000 0.500 0.250
S1 S 0.196 0.196 0.334
```

***

3.
DFT (GGA-PBE) results for AlAsOs2 after structural relaxation.

Values from the calculation:
* formation energy: 100 meV per atom
* energy above the most stable polymorph in this dataset: 0.142 eV/atom
* final energy: -7.613 eV/atom
* size of the total moment: 0.00 μB/cell

The structure in CIF format:
```
data_AlAsOs2
_cell_length_a 2.820
_cell_length_b 2.820
_cell_length_c 7.803
_cell_angle_alpha 90.00
_cell_angle_beta 90.00
_cell_angle_gamma 90.00
_space_group_name_H-M_alt 'P 4 m m'
_space_group_IT_number 99
loop_
_space_group_symop_operation_xyz
'x,y,z'
'-y,x,z'
'-x,-y,z'
'y,-x,z'
'-x,y,z'
'y,x,z'
'x,-y,z'
'-y,-x,z'
loop_
_atom_site_label
_atom_site_type_symbol
_atom_site_fract_x
_atom_site_fract_y
_atom_site_fract_z
Al1 Al 0.000 0.000 0.000
As1 As 0.500 0.500 0.295
Os1 Os 0.000 0.000 0.547
Os2 Os 0.500 0.500 0.768
```